# 1
Density functional theory data (PBE) for a relaxed Y3Cu2Ni9 crystal.

Values from the calculation:
The density of states at the Fermi level comes out at 14.4 states/eV/cell. Its crystal system is orthorhombic. As for the space group: No. 71. For the energy of formation from the pure elements, the calculation gives -3.50 eV/f.u.

The structure in POSCAR format:
```
Y3Cu2Ni9
1.0
4.001 0.000 0.000
2.001 7.356 0.333
2.001 1.992 7.089
Y Cu Ni
3 2 9
Cartesian
0.000 0.000 0.000
4.001 2.894 2.298
4.001 6.454 5.124
4.001 3.547 5.130
4.001 5.801 2.292
2.001 4.674 3.711
6.002 8.442 5.089
2.001 0.907 2.333
6.002 6.870 7.068
2.001 2.478 0.354
6.002 6.993 3.051
2.001 2.355 4.371
6.002 4.557 6.120
2.001 4.791 1.303
```

---

# 2
Density functional theory data (PBE) for a relaxed Y7Cu2Ni2 crystal.

Values from the calculation:
The density of states at the Fermi level comes out at 12.4 states/eV/cell. Its crystal system is orthorhombic. As for the space group: No. 65. For the energy of formation from the pure elements, the calculation gives -0.64 eV/f.u.

The structure in POSCAR format:
```
Y7Cu2Ni2
1.0
-5.741 1.292 -3.044
-3.051 -5.033 3.618
0.709 3.556 5.545
Y Cu Ni
7 2 2
Cartesian
-6.175 1.769 0.667
-4.426 0.471 6.703
-1.909 -1.954 5.452
-3.658 -0.656 -0.584
0.000 0.000 0.000
-4.798 -1.339 3.953
-3.285 1.154 2.166
-5.712 1.517 3.890
-2.372 -1.702 2.229
-6.869 -3.066 3.135
-1.215 2.881 2.984
```

---

# 3
Density functional theory data (PBE) for a relaxed YCu3Ni crystal.

Values from the calculation:
The density of states at the Fermi level comes out at 6.9 states/eV/cell. Its crystal system is cubic. As for the space group: No. 221. The relative energy among the computed polymorphs is 1801 meV per atom. For the energy of formation from the pure elements, the calculation gives 8.16 eV/f.u.

The structure in POSCAR format:
```
YCu3Ni
1.0
4.966 0.000 0.000
0.000 4.966 0.000
0.000 0.000 4.966
Y Ni Cu
1 1 3
Cartesian
0.000 0.000 0.000
2.483 2.483 2.483
0.000 2.483 0.000
0.000 0.000 2.483
2.483 0.000 0.000
```

---

# 4
Density functional theory data (PBE) for a relaxed YCuNi2 crystal.

Values from the calculation:
The density of states at the Fermi level comes out at 1.7 states/eV/cell. Its crystal system is tetragonal. As for the space group: No. 119. For the energy of formation from the pure elements, the calculation gives -0.66 eV/f.u.

The structure in POSCAR format:
```
YCuNi2
1.0
-2.722 -4.047 -0.117
0.409 -2.620 4.095
-0.927 4.704 -0.905
Cu Ni Y
1 2 1
Cartesian
-2.403 -1.338 0.484
0.000 0.000 0.000
-0.837 -0.625 2.590
-1.157 -3.333 1.989
```

---

- Which of these has the lowest energy of formation from the pure elements?
  Y3Cu2Ni9